# 1
First-principles (PBE) data for a relaxed SbAs2Pd6 crystal, as listed in the Alexandria database.

abc: 6.414 6.414 8.990
angles: 90.00 90.00 90.00
Element x y z (fractional)
Sb1 0.000 0.000 0.000
Sb2 0.500 0.500 0.500
As1 0.000 0.000 0.327
As2 0.000 0.000 0.673
As3 0.500 0.500 0.173
As4 0.500 0.500 0.827
Pd1 0.211 0.211 0.500
Pd2 0.233 0.233 0.176
Pd3 0.233 0.233 0.824
Pd4 0.267 0.733 0.324
Pd5 0.267 0.733 0.676
Pd6 0.289 0.711 0.000
Pd7 0.711 0.289 0.000
Pd8 0.733 0.267 0.324
Pd9 0.733 0.267 0.676
Pd10 0.767 0.767 0.176
Pd11 0.767 0.767 0.824
Pd12 0.789 0.789 0.500

- crystal system = tetragonal
- E above lowest polymorph (eV per formula unit) = 2.82
- formation energy from raw total energies (eV/atom) = 0.008

---

# 2
First-principles (PBE) data for a relaxed Sb3AsPd crystal, as listed in the Alexandria database.

abc: 5.291 5.291 5.291
angles: 90.00 90.00 90.00
Element x y z (fractional)
Sb1 0.000 0.000 0.500
Sb2 0.000 0.500 0.000
Sb3 0.500 0.000 0.000
As1 0.000 0.000 0.000
Pd1 0.500 0.500 0.500

- crystal system = cubic
- E above lowest polymorph (eV per formula unit) = 1.71
- formation energy from raw total energies (eV/atom) = 0.847

---

# 3
First-principles (PBE) data for a relaxed SbAsPd2 crystal, as listed in the Alexandria database.

abc: 6.794 6.794 6.794
angles: 32.25 32.25 32.25
Element x y z (fractional)
Sb1 0.000 0.000 0.000
As1 0.169 0.169 0.169
Pd1 0.430 0.430 0.430
Pd2 0.574 0.574 0.574

- crystal system = trigonal
- E above lowest polymorph (eV per formula unit) = 0.51
- formation energy from raw total energies (eV/atom) = -0.239

---

# 4
First-principles (PBE) data for a relaxed Sb5As2Pd12 crystal, as listed in the Alexandria database.

abc: 8.402 8.402 7.005
angles: 108.11 108.11 52.03
Element x y z (fractional)
Sb1 0.000 0.000 0.000
Sb2 0.228 0.228 0.069
Sb3 0.278 0.278 0.670
Sb4 0.722 0.722 0.330
Sb5 0.772 0.772 0.931
As1 0.280 0.720 0.500
As2 0.720 0.280 0.500
Pd1 0.080 0.080 0.694
Pd2 0.124 0.519 0.394
Pd3 0.180 0.582 0.012
Pd4 0.418 0.820 0.988
Pd5 0.463 0.463 0.746
Pd6 0.481 0.876 0.606
Pd7 0.519 0.124 0.394
Pd8 0.537 0.537 0.254
Pd9 0.582 0.180 0.012
Pd10 0.820 0.418 0.988
Pd11 0.876 0.481 0.606
Pd12 0.920 0.920 0.306

- crystal system = monoclinic
- formation energy from raw total energies (eV/atom) = -0.307

---

# 5
First-principles (PBE) data for a relaxed SbAs3Pd crystal, as listed in the Alexandria database.

abc: 4.910 4.910 4.910
angles: 90.00 90.00 90.00
Element x y z (fractional)
Sb1 0.000 0.000 0.000
As1 0.000 0.500 0.500
As2 0.500 0.000 0.500
As3 0.500 0.500 0.000
Pd1 0.500 0.500 0.500

- crystal system = cubic
- E above lowest polymorph (eV per formula unit) = 0.00
- formation energy from raw total energies (eV/atom) = 0.512

---

# 6
First-principles (PBE) data for a relaxed SbAsPd2 crystal, as listed in the Alexandria database.

abc: 8.615 8.615 8.615
angles: 149.31 149.31 43.96
Element x y z (fractional)
Sb1 0.000 0.000 0.000
Sb2 0.750 0.250 0.500
As1 0.250 0.750 0.500
As2 0.500 0.500 0.000
Pd1 0.171 0.625 0.046
Pd2 0.375 0.421 0.546
Pd3 0.579 0.125 0.954
Pd4 0.875 0.829 0.454

- crystal system = tetragonal
- E above lowest polymorph (eV per formula unit) = 0.59
- formation energy from raw total energies (eV/atom) = -0.219

---

# 7
First-principles (PBE) data for a relaxed SbAsPd6 crystal, as listed in the Alexandria database.

abc: 4.623 4.623 7.483
angles: 107.08 107.08 73.34
Element x y z (fractional)
Sb1 0.000 0.000 0.000
As1 0.500 0.500 0.500
Pd1 0.073 0.577 0.205
Pd2 0.162 0.162 0.451
Pd3 0.423 0.927 0.795
Pd4 0.577 0.073 0.205
Pd5 0.838 0.838 0.549
Pd6 0.927 0.423 0.795

- crystal system = monoclinic
- formation energy from raw total energies (eV/atom) = -0.266

---

# 8
First-principles (PBE) data for a relaxed SbAsPd14 crystal, as listed in the Alexandria database.

abc: 7.420 5.830 5.830
angles: 90.18 90.00 90.00
Element x y z (fractional)
Sb1 0.000 0.000 0.000
As1 0.000 0.519 0.519
Pd1 0.000 0.530 0.972
Pd2 0.000 0.972 0.530
Pd3 0.215 0.266 0.266
Pd4 0.245 0.257 0.755
Pd5 0.245 0.755 0.257
Pd6 0.275 0.756 0.756
Pd7 0.500 0.019 0.495
Pd8 0.500 0.023 0.023
Pd9 0.500 0.494 0.494
Pd10 0.500 0.495 0.019
Pd11 0.725 0.756 0.756
Pd12 0.755 0.257 0.755
Pd13 0.755 0.755 0.257
Pd14 0.785 0.266 0.266

- crystal system = orthorhombic
- formation energy from raw total energies (eV/atom) = -0.161

---

# 9
First-principles (PBE) data for a relaxed SbAsPd2 crystal, as listed in the Alexandria database.

abc: 4.676 4.676 4.676
angles: 60.00 60.00 60.00
Element x y z (fractional)
Sb1 0.000 0.000 0.000
As1 0.500 0.500 0.500
Pd1 0.250 0.250 0.250
Pd2 0.750 0.750 0.750

- crystal system = cubic
- E above lowest polymorph (eV per formula unit) = 0.53
- formation energy from raw total energies (eV/atom) = -0.234

---

# 10
First-principles (PBE) data for a relaxed SbAsPd2 crystal, as listed in the Alexandria database.

abc: 8.065 6.687 5.726
angles: 90.00 90.46 90.00
Element x y z (fractional)
Sb1 0.124 0.098 0.273
Sb2 0.124 0.402 0.773
Sb3 0.876 0.598 0.227
Sb4 0.876 0.902 0.727
As1 0.381 0.576 0.201
As2 0.381 0.924 0.701
As3 0.619 0.076 0.299
As4 0.619 0.424 0.799
Pd1 0.149 0.728 0.484
Pd2 0.149 0.772 0.984
Pd3 0.394 0.203 0.004
Pd4 0.394 0.297 0.504
Pd5 0.606 0.703 0.496
Pd6 0.606 0.797 0.996
Pd7 0.851 0.228 0.016
Pd8 0.851 0.272 0.516

- crystal system = monoclinic
- E above lowest polymorph (eV per formula unit) = 0.05
- formation energy from raw total energies (eV/atom) = -0.353

---

# 11
First-principles (PBE) data for a relaxed Sb6AsPd crystal, as listed in the Alexandria database.

abc: 8.401 8.401 9.832
angles: 124.37 124.37 70.46
Element x y z (fractional)
Sb1 0.144 0.838 0.641
Sb2 0.162 0.856 0.359
Sb3 0.200 0.502 0.837
Sb4 0.329 0.329 0.475
Sb5 0.375 0.375 0.221
Sb6 0.498 0.800 0.163
Sb7 0.502 0.200 0.837
Sb8 0.625 0.625 0.779
Sb9 0.671 0.671 0.525
Sb10 0.800 0.498 0.163
Sb11 0.838 0.144 0.641
Sb12 0.856 0.162 0.359
As1 0.000 0.500 0.000
As2 0.500 0.000 0.000
Pd1 0.000 0.500 0.500
Pd2 0.500 0.000 0.500

- crystal system = monoclinic
- formation energy from raw total energies (eV/atom) = -0.028

---

# 12
First-principles (PBE) data for a relaxed Sb3AsPd crystal, as listed in the Alexandria database.

abc: 5.199 5.199 5.199
angles: 90.00 90.00 90.00
Element x y z (fractional)
Sb1 0.000 0.000 0.500
Sb2 0.000 0.500 0.000
Sb3 0.500 0.000 0.000
As1 0.500 0.500 0.500
Pd1 0.000 0.000 0.000

- crystal system = cubic
- E above lowest polymorph (eV per formula unit) = 0.00
- formation energy from raw total energies (eV/atom) = 0.506

---

- The lowest formation energy from raw total energies belongs to which entry?
  number 10

---

- Number 1 is which compound?
  SbAs2Pd6

---

- What is the formation energy from raw total energies in the sixth record?
  -0.219 eV/atom

---

- Among the records above, which one has the lowest formation energy from raw total energies?
  number 10